A plane-wave DFT calculation with PBE was carried out for crystalline ZrNiCl2 at its relaxed geometry.

Cell: 4.900 4.900 4.900 Å, 129.06 129.06 74.92°
Fractional coordinates of all 4 atoms:
Ni  0.500  0.500  0.000
Zr  0.750  0.250  0.500
Cl  0.000  0.000  0.000
Cl  0.250  0.750  0.500

Computed properties:
Excess energy over the best structure of this formula in the dataset: 0.7379 eV per atom
Calculated volume: 17.3 Å³ per atom
Density of states at the Fermi level: 0.8 states/eV/cell
Formation energy (no corrections): -187 meV/atom

A plane-wave DFT calculation with PBE was carried out for crystalline Zr2SiNi at its relaxed geometry.

Cell: 3.749 5.398 7.474 Å, 110.91 90.00 90.00°
Fractional coordinates of all 8 atoms:
Zr  0.750  0.211  0.417
Zr  0.250  0.789  0.583
Zr  0.250  0.792  0.064
Zr  0.750  0.208  0.936
Si  0.750  0.653  0.289
Si  0.250  0.347  0.711
Ni  0.250  0.361  0.209
Ni  0.750  0.639  0.791

Computed properties:
Calculated volume: 17.7 Å³ per atom
Density of states at the Fermi level: 8.3 states/eV/cell
Formation energy (no corrections): -695 meV/atom

A plane-wave DFT calculation with PBE was carried out for crystalline MnBeSi at its relaxed geometry.

Cell: 4.264 4.264 4.264 Å, 140.83 140.76 56.65°
Fractional coordinates of all 3 atoms:
Be  0.993  0.993  0.000
Si  0.668  0.668  0.000
Mn  0.339  0.339  0.000

Computed properties:
Calculated volume: 10.2 Å³ per atom
Density of states at the Fermi level: 1.5 states/eV/cell
Formation energy (no corrections): -236 meV/atom

A plane-wave DFT calculation with PBE was carried out for crystalline Tb5PmSmY2 at its relaxed geometry.

Cell: 5.651 10.354 10.648 Å, 90.00 90.00 105.84°
Fractional coordinates of all 18 atoms:
Tb  0.393  0.785  0.024
Tb  0.717  0.434  0.809
Tb  0.478  0.956  0.738
Tb  0.298  0.596  0.707
Tb  0.981  0.963  0.526
Tb  0.607  0.215  0.524
Tb  0.283  0.566  0.309
Tb  0.522  0.044  0.238
Tb  0.702  0.404  0.207
Tb  0.019  0.037  0.026
Pm  0.584  0.168  0.953
Pm  0.416  0.832  0.453
Sm  0.798  0.595  0.511
Sm  0.202  0.405  0.011
Y  0.885  0.771  0.822
Y  0.110  0.220  0.735
Y  0.115  0.229  0.322
Y  0.890  0.780  0.235

Computed properties:
Calculated volume: 33.3 Å³ per atom
E_form: 150 meV/atom
Density of states at the Fermi level: 28.8 states/eV/cell

A plane-wave DFT calculation with PBE was carried out for crystalline CdSiW2 at its relaxed geometry.

Cell: 5.086 5.086 5.086 Å, 134.77 134.77 65.89°
Fractional coordinates of all 4 atoms:
Cd  0.250  0.750  0.500
Si  0.750  0.250  0.500
W  0.000  0.000  0.000
W  0.500  0.500  0.000

Computed properties:
Excess energy over the best structure of this formula in the dataset: 0.3332 eV per atom
Calculated volume: 16.3 Å³ per atom
Density of states at the Fermi level: 3.0 states/eV/cell
Formation energy (no corrections): 692 meV/atom

A plane-wave DFT calculation with PBE was carried out for crystalline NpZnN at its relaxed geometry.

Cell: 4.040 4.040 4.429 Å, 117.14 117.14 90.00°
Fractional coordinates of all 3 atoms:
Np  0.578  0.578  0.156
Zn  0.992  0.992  0.984
N  0.280  0.280  0.560

Computed properties:
Excess energy over the best structure of this formula in the dataset: 0.6441 eV per atom
Calculated volume: 18.4 Å³ per atom
Density of states at the Fermi level: 8.9 states/eV/cell
Formation energy (no corrections): 415 meV/atom

A plane-wave DFT calculation with PBE was carried out for crystalline ReP2Se at its relaxed geometry.

Cell: 4.143 4.143 7.032 Å, 83.68 83.68 45.33°
Fractional coordinates of all 4 atoms:
P  0.977  0.977  0.873
P  0.786  0.786  0.688
Re  0.506  0.506  0.585
Se  0.231  0.231  0.353

Computed properties:
Calculated volume: 21.3 Å³ per atom
Density of states at the Fermi level: 1.2 states/eV/cell
Formation energy (no corrections): 70 meV/atom

A plane-wave DFT calculation with PBE was carried out for crystalline LiSm2Cd at its relaxed geometry.

Cell: 5.361 5.361 5.361 Å, 60.00 60.00 60.00°
Fractional coordinates of all 4 atoms:
Li  0.000  0.000  0.000
Sm  0.250  0.250  0.250
Sm  0.750  0.750  0.750
Cd  0.500  0.500  0.500

Computed properties:
Excess energy over the best structure of this formula in the dataset: 0.0037 eV per atom
Calculated volume: 27.2 Å³ per atom
E_form: -118 meV/atom
Density of states at the Fermi level: 6.1 states/eV/cell

A plane-wave DFT calculation with PBE was carried out for crystalline LiAlAg2 at its relaxed geometry.

Cell: 4.471 3.195 4.470 Å, 90.00 90.00 90.00°
Fractional coordinates of all 4 atoms:
Al  0.000  0.625  0.375
Ag  0.000  0.125  0.875
Ag  0.500  0.125  0.375
Li  0.500  0.625  0.875

Computed properties:
Calculated volume: 16.0 Å³ per atom
E_form: -224 meV/atom
Density of states at the Fermi level: 1.1 states/eV/cell

A plane-wave DFT calculation with PBE was carried out for crystalline Sc2Cr2GaRu5 at its relaxed geometry.

Cell: 3.140 9.902 9.902 Å, 90.00 90.00 90.00°
Fractional coordinates of all 20 atoms:
Sc  0.000  0.671  0.171
Sc  0.000  0.329  0.829
Sc  0.000  0.171  0.329
Sc  0.000  0.829  0.671
Cr  0.000  0.134  0.634
Cr  0.000  0.866  0.366
Cr  0.000  0.634  0.866
Cr  0.000  0.366  0.134
Ga  0.000  0.000  0.000
Ga  0.000  0.500  0.500
Ru  0.500  0.201  0.064
Ru  0.500  0.799  0.936
Ru  0.500  0.064  0.799
Ru  0.500  0.701  0.436
Ru  0.500  0.936  0.201
Ru  0.500  0.299  0.564
Ru  0.500  0.564  0.701
Ru  0.500  0.436  0.299
Ru  0.500  0.500  0.000
Ru  0.500  0.000  0.500

Computed properties:
Calculated volume: 15.4 Å³ per atom
E_form: -164 meV/atom
Density of states at the Fermi level: 13.4 states/eV/cell

A plane-wave DFT calculation with PBE was carried out for crystalline Tb3TmHg3 at its relaxed geometry.

Cell: 5.170 9.281 9.281 Å, 120.00 90.00 90.00°
Fractional coordinates of all 14 atoms:
Tb  0.750  0.763  0.754
Tb  0.750  0.246  0.009
Tb  0.750  0.991  0.237
Tb  0.250  0.237  0.246
Tb  0.250  0.754  0.991
Tb  0.250  0.009  0.763
Tm  0.250  0.667  0.333
Tm  0.750  0.333  0.667
Hg  0.250  0.560  0.610
Hg  0.250  0.390  0.950
Hg  0.250  0.050  0.440
Hg  0.750  0.440  0.390
Hg  0.750  0.610  0.050
Hg  0.750  0.950  0.560

Computed properties:
Calculated volume: 27.5 Å³ per atom
E_form: -266 meV/atom
Density of states at the Fermi level: 18.3 states/eV/cell

A plane-wave DFT calculation with PBE was carried out for crystalline KBIrRh2 at its relaxed geometry.

Cell: 4.122 4.122 4.736 Å, 90.00 90.00 90.00°
Fractional coordinates of all 5 atoms:
K  0.000  0.000  0.500
Ir  0.500  0.500  0.500
Rh  0.000  0.500  0.000
Rh  0.500  0.000  0.000
B  0.000  0.000  0.000

Computed properties:
Calculated volume: 16.1 Å³ per atom
E_form: 951 meV/atom
Density of states at the Fermi level: 6.3 states/eV/cell